1.
Below is an optimized crystal structure of HfMn3In, with properties calculated at the GGA-PBE level.

Values from the calculation:
Its formation energy is 126.2 kJ per mole of atoms. As for the relative energy among the computed polymorphs: 85.9 meV per atom.

Cell and atoms, written as CIF:
```
data_HfMn3In
_space_group_name_H-M_alt 'P 1'
_space_group_IT_number 1
_cell_length_a 4.828
_cell_length_b 4.828
_cell_length_c 4.828
_cell_angle_alpha 90.00
_cell_angle_beta 90.00
_cell_angle_gamma 90.00
loop_
_space_group_symop_operation_xyz
'x,y,z'
loop_
_atom_site_label
_atom_site_fract_x
_atom_site_fract_y
_atom_site_fract_z
_atom_site_occupancy
Hf1 0.000 0.000 0.000 1
Mn1 0.000 0.500 0.500 1
Mn2 0.500 0.000 0.500 1
Mn3 0.500 0.500 0.000 1
In1 0.500 0.500 0.500 1
```

2.
Below is an optimized crystal structure of Ho2NiAuC, with properties calculated at the GGA-PBE level.

Values from the calculation:
Its formation energy is -55.0 kJ per mole of atoms.

Cell and atoms, written as CIF:
```
data_Ho2NiAuC
_space_group_name_H-M_alt 'P 1'
_space_group_IT_number 1
_cell_length_a 4.968
_cell_length_b 4.968
_cell_length_c 3.679
_cell_angle_alpha 90.00
_cell_angle_beta 90.00
_cell_angle_gamma 90.00
loop_
_space_group_symop_operation_xyz
'x,y,z'
loop_
_atom_site_label
_atom_site_fract_x
_atom_site_fract_y
_atom_site_fract_z
_atom_site_occupancy
Ho1 0.000 0.500 0.000 1
Ho2 0.500 0.000 0.000 1
Ni1 0.000 0.000 0.500 1
Au1 0.500 0.500 0.500 1
C1 0.000 0.000 0.000 1
```

3.
Below is an optimized crystal structure of NaMo3I, with properties calculated at the GGA-PBE level.

Values from the calculation:
As for the formation energy (no corrections): 2047 meV/atom. As for the relative energy among the computed polymorphs: 0.0 meV per atom.

Cell and atoms, written as CIF:
```
data_NaMo3I
_space_group_name_H-M_alt 'P 1'
_space_group_IT_number 1
_cell_length_a 4.950
_cell_length_b 4.950
_cell_length_c 4.950
_cell_angle_alpha 90.00
_cell_angle_beta 90.00
_cell_angle_gamma 90.00
loop_
_space_group_symop_operation_xyz
'x,y,z'
loop_
_atom_site_label
_atom_site_fract_x
_atom_site_fract_y
_atom_site_fract_z
_atom_site_occupancy
Na1 0.000 0.000 0.000 1
Mo1 0.000 0.500 0.500 1
Mo2 0.500 0.000 0.500 1
Mo3 0.500 0.500 0.000 1
I1 0.500 0.500 0.500 1
```

4.
Below is an optimized crystal structure of K2USe2Br2, with properties calculated at the GGA-PBE level.

Values from the calculation:
As for the formation energy (no corrections): -1406 meV/atom.

Cell and atoms, written as CIF:
```
data_K2USe2Br2
_space_group_name_H-M_alt 'P 1'
_space_group_IT_number 1
_cell_length_a 5.540
_cell_length_b 5.540
_cell_length_c 16.762
_cell_angle_alpha 90.00
_cell_angle_beta 90.00
_cell_angle_gamma 90.00
loop_
_space_group_symop_operation_xyz
'x,y,z'
loop_
_atom_site_label
_atom_site_fract_x
_atom_site_fract_y
_atom_site_fract_z
_atom_site_occupancy
K1 0.000 0.000 0.130 1
K2 0.000 0.000 0.870 1
K3 0.500 0.500 0.370 1
K4 0.500 0.500 0.630 1
U1 0.000 0.000 0.500 1
U2 0.500 0.500 0.000 1
Se1 0.000 0.500 0.000 1
Se2 0.000 0.500 0.500 1
Se3 0.500 0.000 0.000 1
Se4 0.500 0.000 0.500 1
Br1 0.000 0.000 0.328 1
Br2 0.000 0.000 0.672 1
Br3 0.500 0.500 0.172 1
Br4 0.500 0.500 0.828 1
```

5.
Below is an optimized crystal structure of MgH2S8, with properties calculated at the GGA-PBE level.

Cell and atoms, written as CIF:
```
data_MgH2S8
_space_group_name_H-M_alt 'P 1'
_space_group_IT_number 1
_cell_length_a 5.310
_cell_length_b 6.284
_cell_length_c 7.497
_cell_angle_alpha 94.26
_cell_angle_beta 105.33
_cell_angle_gamma 101.05
loop_
_space_group_symop_operation_xyz
'x,y,z'
loop_
_atom_site_label
_atom_site_fract_x
_atom_site_fract_y
_atom_site_fract_z
_atom_site_occupancy
Mg1 0.000 0.000 0.000 1
H1 0.413 0.249 0.528 1
H2 0.587 0.751 0.472 1
S1 0.069 0.605 0.114 1
S2 0.261 0.935 0.720 1
S3 0.389 0.265 0.713 1
S4 0.418 0.213 0.247 1
S5 0.582 0.787 0.753 1
S6 0.611 0.735 0.287 1
S7 0.739 0.065 0.280 1
S8 0.931 0.395 0.886 1
```

6.
Below is an optimized crystal structure of Tc2AsSe, with properties calculated at the GGA-PBE level.

Values from the calculation:
As for the formation energy (no corrections): -1 meV/atom. As for the relative energy among the computed polymorphs: 97.9 meV per atom.

Cell and atoms, written as CIF:
```
data_Tc2AsSe
_space_group_name_H-M_alt 'P 1'
_space_group_IT_number 1
_cell_length_a 8.443
_cell_length_b 3.177
_cell_length_c 5.098
_cell_angle_alpha 90.00
_cell_angle_beta 104.69
_cell_angle_gamma 90.00
loop_
_space_group_symop_operation_xyz
'x,y,z'
loop_
_atom_site_label
_atom_site_fract_x
_atom_site_fract_y
_atom_site_fract_z
_atom_site_occupancy
Tc1 0.000 0.000 0.000 1
Tc2 0.218 0.000 0.579 1
Tc3 0.500 0.500 0.000 1
Tc4 0.718 0.500 0.579 1
As1 0.212 0.500 0.955 1
As2 0.712 0.000 0.955 1
Se1 0.482 0.000 0.389 1
Se2 0.982 0.500 0.389 1
```

7.
Below is an optimized crystal structure of SrGa2Bi, with properties calculated at the GGA-PBE level.

Values from the calculation:
Its formation energy is -22.7 kJ per mole of atoms.

Cell and atoms, written as CIF:
```
data_SrGa2Bi
_space_group_name_H-M_alt 'P 1'
_space_group_IT_number 1
_cell_length_a 8.513
_cell_length_b 8.513
_cell_length_c 6.597
_cell_angle_alpha 90.00
_cell_angle_beta 90.00
_cell_angle_gamma 90.00
loop_
_space_group_symop_operation_xyz
'x,y,z'
loop_
_atom_site_label
_atom_site_fract_x
_atom_site_fract_y
_atom_site_fract_z
_atom_site_occupancy
Sr1 0.000 0.000 0.000 1
Sr2 0.000 0.500 0.250 1
Sr3 0.500 0.000 0.750 1
Sr4 0.500 0.500 0.500 1
Ga1 0.215 0.250 0.625 1
Ga2 0.250 0.715 0.875 1
Ga3 0.250 0.785 0.375 1
Ga4 0.285 0.250 0.125 1
Ga5 0.715 0.750 0.125 1
Ga6 0.750 0.215 0.375 1
Ga7 0.750 0.285 0.875 1
Ga8 0.785 0.750 0.625 1
Bi1 0.000 0.000 0.500 1
Bi2 0.000 0.500 0.750 1
Bi3 0.500 0.000 0.250 1
Bi4 0.500 0.500 0.000 1
```

8.
Below is an optimized crystal structure of ErNi2H6, with properties calculated at the GGA-PBE level.

Cell and atoms, written as CIF:
```
data_ErNi2H6
_space_group_name_H-M_alt 'P 1'
_space_group_IT_number 1
_cell_length_a 4.345
_cell_length_b 4.345
_cell_length_c 4.074
_cell_angle_alpha 90.00
_cell_angle_beta 90.00
_cell_angle_gamma 120.00
loop_
_space_group_symop_operation_xyz
'x,y,z'
loop_
_atom_site_label
_atom_site_fract_x
_atom_site_fract_y
_atom_site_fract_z
_atom_site_occupancy
Er1 0.000 0.000 0.000 1
Ni1 0.333 0.667 0.500 1
Ni2 0.667 0.333 0.500 1
H1 0.000 0.500 0.242 1
H2 0.000 0.500 0.758 1
H3 0.500 0.000 0.242 1
H4 0.500 0.000 0.758 1
H5 0.500 0.500 0.242 1
H6 0.500 0.500 0.758 1
```

9.
Below is an optimized crystal structure of BeNiRh2N, with properties calculated at the GGA-PBE level.

Values from the calculation:
As for the formation energy (no corrections): 1829 meV/atom.

Cell and atoms, written as CIF:
```
data_BeNiRh2N
_space_group_name_H-M_alt 'P 1'
_space_group_IT_number 1
_cell_length_a 4.443
_cell_length_b 4.443
_cell_length_c 3.751
_cell_angle_alpha 90.00
_cell_angle_beta 90.00
_cell_angle_gamma 90.00
loop_
_space_group_symop_operation_xyz
'x,y,z'
loop_
_atom_site_label
_atom_site_fract_x
_atom_site_fract_y
_atom_site_fract_z
_atom_site_occupancy
Be1 0.000 0.000 0.000 1
Ni1 0.000 0.000 0.500 1
Rh1 0.000 0.500 0.500 1
Rh2 0.500 0.000 0.500 1
N1 0.500 0.500 0.000 1
```

10.
Below is an optimized crystal structure of Ac8PrSn2, with properties calculated at the GGA-PBE level.

Values from the calculation:
Its formation energy is -15.9 kJ per mole of atoms.

Cell and atoms, written as CIF:
```
data_Ac8PrSn2
_space_group_name_H-M_alt 'P 1'
_space_group_IT_number 1
_cell_length_a 9.735
_cell_length_b 9.735
_cell_length_c 6.856
_cell_angle_alpha 93.22
_cell_angle_beta 93.22
_cell_angle_gamma 44.74
loop_
_space_group_symop_operation_xyz
'x,y,z'
loop_
_atom_site_label
_atom_site_fract_x
_atom_site_fract_y
_atom_site_fract_z
_atom_site_occupancy
Ac1 0.084 0.084 0.388 1
Ac2 0.146 0.647 0.106 1
Ac3 0.291 0.291 0.652 1
Ac4 0.353 0.854 0.894 1
Ac5 0.647 0.146 0.106 1
Ac6 0.709 0.709 0.348 1
Ac7 0.854 0.353 0.894 1
Ac8 0.916 0.916 0.612 1
Pr1 0.500 0.500 0.500 1
Sn1 0.240 0.240 0.155 1
Sn2 0.760 0.760 0.845 1
```

no.,total DFT energy (no corrections) (eV for the cell shown),mass density (g cm⁻³)
1,-33.66,6.76
2,-30.29,10.92
3,-25.13,5.99
4,-67.28,4.09
5,-42.30,2.00
6,-57.74,8.79
7,-50.22,6.06
8,-39.54,7.25
9,-23.39,6.45
10,-47.47,7.98